[1]
Density functional theory data (PBE-GGA) for an optimized crystal structure of Ba2CdTcN6.

Computed properties:
E = -59.41 eV per cell

a = 5.954 Å, b = 5.958 Å, c = 5.958 Å
α = 60.15°, β = 60.08°, γ = 60.07°
Atoms (fractional coordinates):
Tc (0.000, 0.500, 0.500)
N (0.773, 0.727, 0.265)
N (0.768, 0.739, 0.724)
N (0.227, 0.273, 0.735)
N (0.232, 0.261, 0.276)
N (0.764, 0.273, 0.733)
N (0.236, 0.727, 0.267)
Ba (0.250, 0.750, 0.750)
Ba (0.750, 0.250, 0.250)
Cd (0.500, 0.000, 0.000)

[2]
Density functional theory data (PBE-GGA) for an optimized crystal structure of LiHfSn.

Computed properties:
E = -15.66 eV per cell

a = 4.655 Å, b = 4.655 Å, c = 4.655 Å
α = 60.00°, β = 60.00°, γ = 60.00°
Atoms (fractional coordinates):
Li (0.750, 0.750, 0.750)
Hf (0.250, 0.250, 0.250)
Sn (0.000, 0.000, 0.000)

[3]
Density functional theory data (PBE-GGA) for an optimized crystal structure of Ta2PtSe2S4.

Computed properties:
E = -60.53 eV per cell
Energy above the most stable polymorph in this dataset = 0.000 eV/atom

a = 6.846 Å, b = 6.846 Å, c = 10.568 Å
α = 118.84°, β = 118.84°, γ = 28.04°
Atoms (fractional coordinates):
Pt (0.000, 0.000, 0.000)
Ta (0.679, 0.679, 0.296)
Ta (0.321, 0.321, 0.704)
S (0.673, 0.673, 0.539)
S (0.203, 0.203, 0.138)
S (0.327, 0.327, 0.461)
S (0.797, 0.797, 0.862)
Se (0.993, 0.993, 0.761)
Se (0.007, 0.007, 0.239)

[4]
Density functional theory data (PBE-GGA) for an optimized crystal structure of CdSnPd2.

Computed properties:
E = -16.24 eV per cell

a = 4.695 Å, b = 4.695 Å, c = 4.695 Å
α = 60.00°, β = 60.00°, γ = 60.00°
Atoms (fractional coordinates):
Pd (0.750, 0.750, 0.750)
Pd (0.000, 0.000, 0.000)
Cd (0.250, 0.250, 0.250)
Sn (0.500, 0.500, 0.500)

[5]
Density functional theory data (PBE-GGA) for an optimized crystal structure of HIrI.

Computed properties:
E = -25.46 eV per cell

a = 4.471 Å, b = 3.922 Å, c = 8.340 Å
α = 90.00°, β = 105.11°, γ = 90.00°
Atoms (fractional coordinates):
Ir (0.793, 0.500, 0.339)
Ir (0.688, 0.000, 0.132)
H (0.477, 0.250, 0.237)
H (0.477, 0.750, 0.237)
I (0.049, 0.000, 0.548)
I (0.730, 0.500, 0.920)

[6]
Density functional theory data (PBE-GGA) for an optimized crystal structure of Na2ZnReS4.

Computed properties:
E = -37.34 eV per cell

a = 6.537 Å, b = 6.537 Å, c = 6.350 Å
α = 119.04°, β = 119.04°, γ = 93.25°
Atoms (fractional coordinates):
Na (0.764, 0.236, 0.000)
Na (0.515, 0.485, 0.500)
Zn (0.014, 0.986, 0.500)
S (0.325, 0.046, 0.948)
S (0.954, 0.675, 0.052)
S (0.626, 0.849, 0.423)
S (0.151, 0.374, 0.577)
Re (0.264, 0.736, 0.000)

[7]
Density functional theory data (PBE-GGA) for an optimized crystal structure of BaBe2Mo.

Computed properties:
E = -14.38 eV per cell

a = 4.658 Å, b = 4.658 Å, c = 4.658 Å
α = 60.00°, β = 60.00°, γ = 60.00°
Atoms (fractional coordinates):
Be (0.000, 0.000, 0.000)
Be (0.750, 0.750, 0.750)
Ba (0.500, 0.500, 0.500)
Mo (0.250, 0.250, 0.250)

[8]
Density functional theory data (PBE-GGA) for an optimized crystal structure of NaThU.

Computed properties:
E = -15.45 eV per cell
Energy above the most stable polymorph in this dataset = 0.000 eV/atom

a = 5.115 Å, b = 5.115 Å, c = 5.115 Å
α = 60.00°, β = 60.00°, γ = 60.00°
Atoms (fractional coordinates):
Th (0.750, 0.750, 0.750)
Na (0.250, 0.250, 0.250)
U (0.000, 0.000, 0.000)

Question: Which of these has the highest E?
Answer: BaBe2Mo